Below is an optimized crystal structure of LiTbSc, with properties calculated at the PBE level.

a = 4.866 Å, b = 4.866 Å, c = 4.866 Å
α = 60.00°, β = 60.00°, γ = 60.00°
Each line ends with the local moment (μB).
Fractional coordinates of all 3 atoms:
Li: 0.000 0.000 0.000  0.00
Sc: 0.750 0.750 0.750  0.11
Tb: 0.250 0.250 0.250  0.08

Calculated volume (A^3/atom): 27.16
Distance to the lowest polymorph of the same formula (eV/atom): 0.000